Entry 1:
## Hf5Ni2Ir (PBE-GGA)

Data for crystalline Hf5Ni2Ir at its relaxed geometry.

Calculated values
M_tot ... 0.000 μB per cell
SG ... I4/mcm, No. 140
Calculated volume ... 293.3 Å³/cell
E_form ... -0.5130 eV per atom
Calculated total energy ... -0.341 Ha/atom

Cell and atoms, written as CIF:
```
data_Hf5Ni2Ir
_chemical_formula_sum 'Hf10 Ni4 Ir2'
_cell_length_a 6.511
_cell_length_b 6.511
_cell_length_c 8.309
_cell_angle_alpha 113.07
_cell_angle_beta 113.07
_cell_angle_gamma 90.00
_symmetry_space_group_name_H-M 'P 1'
_symmetry_Int_Tables_number 1
loop_
_symmetry_equiv_pos_as_xyz
'x,y,z'
loop_
_atom_site_label
_atom_site_fract_x
_atom_site_fract_y
_atom_site_fract_z
_atom_site_occupancy
Hf1 0.679 0.179 0.702 1
Hf2 0.321 0.821 0.298 1
Hf3 0.179 0.022 0.702 1
Hf4 0.478 0.321 0.298 1
Hf5 0.522 0.679 0.702 1
Hf6 0.022 0.522 0.702 1
Hf7 0.978 0.478 0.298 1
Hf8 0.000 0.000 0.000 1
Hf9 0.821 0.978 0.298 1
Hf10 0.500 0.500 0.000 1
Ni1 0.369 0.869 0.000 1
Ni2 0.131 0.369 0.000 1
Ni3 0.869 0.631 0.000 1
Ni4 0.631 0.131 0.000 1
Ir1 0.750 0.750 0.500 1
Ir2 0.250 0.250 0.500 1
```

=====

Entry 2:
## Ce2Ni3Ge5 (PBE-GGA)

Data for crystalline Ce2Ni3Ge5 at its relaxed geometry.

Calculated values
M_tot ... 1.579 μB per cell
SG ... Ibam, No. 72
Calculated volume ... 343.9 Å³/cell
E_form ... -0.6505 eV per atom
Calculated total energy ... -0.216 Ha/atom
Energy relative to the lowest polymorph listed for this composition ... 0 meV per atom

Cell and atoms, written as CIF:
```
data_Ce2Ni3Ge5
_chemical_formula_sum 'Ce4 Ni6 Ge10'
_cell_length_a 8.212
_cell_length_b 8.212
_cell_length_c 8.212
_cell_angle_alpha 137.22
_cell_angle_beta 107.28
_cell_angle_gamma 88.22
_symmetry_space_group_name_H-M 'P 1'
_symmetry_Int_Tables_number 1
loop_
_symmetry_equiv_pos_as_xyz
'x,y,z'
loop_
_atom_site_label
_atom_site_fract_x
_atom_site_fract_y
_atom_site_fract_z
_atom_site_occupancy
Ge1 0.268 0.018 0.750 1
Ge2 0.732 0.482 0.750 1
Ge3 0.244 0.400 0.844 1
Ge4 0.444 0.100 0.344 1
Ge5 0.556 0.900 0.656 1
Ge6 0.000 0.750 0.750 1
Ge7 0.732 0.982 0.250 1
Ge8 0.268 0.518 0.250 1
Ge9 0.000 0.250 0.250 1
Ge10 0.756 0.600 0.156 1
Ni1 0.500 0.250 0.750 1
Ni2 0.500 0.750 0.250 1
Ni3 0.246 0.138 0.108 1
Ni4 0.971 0.362 0.608 1
Ni5 0.754 0.862 0.892 1
Ni6 0.029 0.638 0.392 1
Ce1 0.633 0.367 0.266 1
Ce2 0.102 0.867 0.234 1
Ce3 0.367 0.633 0.734 1
Ce4 0.898 0.133 0.766 1
```

=====

Entry 3:
## GaMoPt (PBE-GGA)

Data for crystalline GaMoPt at its relaxed geometry.

Calculated values
M_tot ... 0.000 μB per cell
SG ... Cm, No. 8
Calculated volume ... 188.2 Å³/cell
E_form ... -0.2924 eV per atom
Calculated total energy ... -0.254 Ha/atom

Cell and atoms, written as CIF:
```
data_GaMoPt
_chemical_formula_sum 'Ga4 Mo4 Pt4'
_cell_length_a 5.934
_cell_length_b 3.663
_cell_length_c 8.904
_cell_angle_alpha 90.00
_cell_angle_beta 103.55
_cell_angle_gamma 90.00
_symmetry_space_group_name_H-M 'P 1'
_symmetry_Int_Tables_number 1
loop_
_symmetry_equiv_pos_as_xyz
'x,y,z'
loop_
_atom_site_label
_atom_site_fract_x
_atom_site_fract_y
_atom_site_fract_z
_atom_site_occupancy
Pt1 0.664 0.000 0.266 1
Pt2 0.970 0.500 0.474 1
Pt3 0.664 0.500 0.766 1
Pt4 0.970 0.000 0.974 1
Ga1 0.863 0.000 0.650 1
Ga2 0.511 0.500 0.452 1
Ga3 0.863 0.500 0.150 1
Ga4 0.511 0.000 0.952 1
Mo1 0.315 0.500 0.132 1
Mo2 0.188 0.500 0.804 1
Mo3 0.188 0.000 0.304 1
Mo4 0.315 0.000 0.632 1
```

=====

Entry 4:
## NpTiO6 (PBE-GGA)

Data for crystalline NpTiO6 at its relaxed geometry.

Calculated values
M_tot ... 0.743 μB per cell
SG ... P-1, No. 2
Calculated volume ... 119.8 Å³/cell
Calculated total energy ... -0.316 Ha/atom

Cell and atoms, written as CIF:
```
data_NpTiO6
_chemical_formula_sum 'Np1 Ti1 O6'
_cell_length_a 5.477
_cell_length_b 5.498
_cell_length_c 5.031
_cell_angle_alpha 96.64
_cell_angle_beta 95.99
_cell_angle_gamma 125.43
_symmetry_space_group_name_H-M 'P 1'
_symmetry_Int_Tables_number 1
loop_
_symmetry_equiv_pos_as_xyz
'x,y,z'
loop_
_atom_site_label
_atom_site_fract_x
_atom_site_fract_y
_atom_site_fract_z
_atom_site_occupancy
O1 0.624 0.878 0.753 1
O2 0.247 0.247 0.753 1
O3 0.753 0.753 0.247 1
O4 0.120 0.375 0.250 1
O5 0.880 0.625 0.750 1
O6 0.376 0.122 0.247 1
Np1 0.500 0.500 0.500 1
Ti1 0.000 0.000 0.000 1
```

=====

Entry 5:
## Ag2IrAu (PBE-GGA)

Data for crystalline Ag2IrAu at its relaxed geometry.

Calculated values
M_tot ... 0.324 μB per cell
SG ... C2/m, No. 12
Calculated volume ... 67.4 Å³/cell
E_form ... 0.2704 eV per atom
Calculated total energy ... -0.154 Ha/atom
Energy relative to the lowest polymorph listed for this composition ... 54 meV per atom

Cell and atoms, written as CIF:
```
data_Ag2IrAu
_chemical_formula_sum 'Ag2 Ir1 Au1'
_cell_length_a 5.092
_cell_length_b 5.092
_cell_length_c 4.956
_cell_angle_alpha 80.46
_cell_angle_beta 80.46
_cell_angle_gamma 32.15
_symmetry_space_group_name_H-M 'P 1'
_symmetry_Int_Tables_number 1
loop_
_symmetry_equiv_pos_as_xyz
'x,y,z'
loop_
_atom_site_label
_atom_site_fract_x
_atom_site_fract_y
_atom_site_fract_z
_atom_site_occupancy
Ag1 0.004 0.004 0.994 1
Ag2 0.496 0.496 0.506 1
Ir1 0.750 0.750 0.750 1
Au1 0.250 0.250 0.250 1
```

=====

Entry 6:
## RbMgIrCl6 (PBE-GGA)

Data for crystalline RbMgIrCl6 at its relaxed geometry.

Calculated values
M_tot ... 0.000 μB per cell
SG ... P312, No. 149
Calculated volume ... 263.1 Å³/cell
Calculated total energy ... -0.139 Ha/atom

Cell and atoms, written as CIF:
```
data_RbMgIrCl6
_chemical_formula_sum 'Rb1 Mg1 Ir1 Cl6'
_cell_length_a 6.377
_cell_length_b 6.377
_cell_length_c 7.471
_cell_angle_alpha 90.00
_cell_angle_beta 90.00
_cell_angle_gamma 60.00
_symmetry_space_group_name_H-M 'P 1'
_symmetry_Int_Tables_number 1
loop_
_symmetry_equiv_pos_as_xyz
'x,y,z'
loop_
_atom_site_label
_atom_site_fract_x
_atom_site_fract_y
_atom_site_fract_z
_atom_site_occupancy
Cl1 0.356 0.018 0.683 1
Cl2 0.356 0.626 0.317 1
Cl3 0.626 0.018 0.317 1
Cl4 0.626 0.356 0.683 1
Cl5 0.018 0.356 0.317 1
Cl6 0.018 0.626 0.683 1
Rb1 0.000 0.000 0.000 1
Mg1 0.667 0.667 0.500 1
Ir1 0.333 0.333 0.500 1
```

=====

Number 4 is which compound? NpTiO6